Record 1
# CrTc SCAN PBEsol geometry
data_CrTc
_space_group_name_H-M_alt 'C 1 2/m 1'
_space_group_IT_number 12
_cell_length_a 9.149
_cell_length_b 2.873
_cell_length_c 6.138
_cell_angle_alpha 90.00
_cell_angle_beta 110.18
_cell_angle_gamma 90.00
loop_
_space_group_symop_operation_xyz
'x,y,z'
'-x,-y,-z'
'-x,y,-z'
'x,-y,z'
'x+1/2,y+1/2,z'
'-x+1/2,-y+1/2,-z'
'-x+1/2,y+1/2,-z'
'x+1/2,-y+1/2,z'
loop_
_atom_site_label
_atom_site_type_symbol
_atom_site_fract_x
_atom_site_fract_y
_atom_site_fract_z
_atom_site_occupancy
Cr1 Cr 0.000 0.000 0.000 1
Cr2 Cr 0.158 0.500 0.857 1
Tc1 Tc 0.000 0.000 0.500 1
Tc2 Tc 0.178 0.500 0.316 1
# formation energy from the elements = 0.04 eV/atom
# total DFT energy (no corrections) = -26.6815 eV per atom
# DOS(E_F) = 11.0 states/eV/cell
# total magnetic moment = 0.00 μB/cell

---

Record 2
# Be2ZnSe SCAN PBEsol geometry
data_Be2ZnSe
_space_group_name_H-M_alt 'I m m 2'
_space_group_IT_number 44
_cell_length_a 3.203
_cell_length_b 3.320
_cell_length_c 10.216
_cell_angle_alpha 90.00
_cell_angle_beta 90.00
_cell_angle_gamma 90.00
loop_
_space_group_symop_operation_xyz
'x,y,z'
'-x,-y,z'
'-x,y,z'
'x,-y,z'
'x+1/2,y+1/2,z+1/2'
'-x+1/2,-y+1/2,z+1/2'
'-x+1/2,y+1/2,z+1/2'
'x+1/2,-y+1/2,z+1/2'
loop_
_atom_site_label
_atom_site_type_symbol
_atom_site_fract_x
_atom_site_fract_y
_atom_site_fract_z
_atom_site_occupancy
Be1 Be 0.000 0.000 0.000 1
Be2 Be 0.000 0.500 0.254 1
Zn1 Zn 0.000 0.000 0.427 1
Se1 Se 0.000 0.500 0.676 1
# total DFT energy (no corrections) = -10.3074 eV per atom
# DOS(E_F) = 1.3 states/eV/cell
# excess energy over the best structure of this formula in the dataset = 0 meV per atom
# energy relative to the elements, uncorrected = 0.27 eV per atom
# total magnetic moment = 0.00 μB/cell

---

Record 3
# CaY3 SCAN PBEsol geometry
data_CaY3
_space_group_name_H-M_alt 'P 1 2/m 1'
_space_group_IT_number 10
_cell_length_a 3.547
_cell_length_b 5.032
_cell_length_c 7.243
_cell_angle_alpha 90.00
_cell_angle_beta 90.06
_cell_angle_gamma 90.00
loop_
_space_group_symop_operation_xyz
'x,y,z'
'-x,-y,-z'
'-x,y,-z'
'x,-y,z'
loop_
_atom_site_label
_atom_site_type_symbol
_atom_site_fract_x
_atom_site_fract_y
_atom_site_fract_z
_atom_site_occupancy
Ca1 Ca 0.000 0.000 0.000 1
Y1 Y 0.000 0.000 0.500 1
Y2 Y 0.500 0.500 0.266 1
# formation energy from the elements = 0.13 eV/atom
# total DFT energy (no corrections) = -23.1686 eV per atom
# DOS(E_F) = 7.0 states/eV/cell
# total magnetic moment = 0.98 μB/cell

---

Record 4
# SrSn2Pt2 SCAN PBEsol geometry
data_SrSn2Pt2
_space_group_name_H-M_alt 'I 4/m m m'
_space_group_IT_number 139
_space_group_name_Hall '-I 4 2'
_cell_length_a 4.597
_cell_length_b 4.597
_cell_length_c 10.788
_cell_angle_alpha 90.00
_cell_angle_beta 90.00
_cell_angle_gamma 90.00
loop_
_atom_site_label
_atom_site_type_symbol
_atom_site_fract_x
_atom_site_fract_y
_atom_site_fract_z
_atom_site_occupancy
Sr1 Sr 0.000 0.000 0.000 1
Sn1 Sn 0.000 0.500 0.250 1
Pt1 Pt 0.000 0.000 0.377 1
# formation energy from the elements = -0.85 eV/atom
# total DFT energy (no corrections) = -47.7474 eV per atom
# DOS(E_F) = 4.1 states/eV/cell
# total magnetic moment = 0.00 μB/cell

---

Record 5
# USbPd SCAN PBEsol geometry
data_USbPd
_space_group_name_H-M_alt 'P 63/m m c'
_space_group_IT_number 194
_space_group_name_Hall '-P 6c 2c'
_cell_length_a 4.9293
_cell_length_b 4.9293
_cell_length_c 5.6399
_cell_angle_alpha 90.00
_cell_angle_beta 90.00
_cell_angle_gamma 120.00
loop_
_atom_site_label
_atom_site_type_symbol
_atom_site_fract_x
_atom_site_fract_y
_atom_site_fract_z
_atom_site_occupancy
U1 U 0.0000 0.0000 0.0000 1
Sb1 Sb 0.3333 0.6667 0.2500 1
Pd1 Pd 0.3333 0.6667 0.7500 1
# total DFT energy (no corrections) = -58.3074 eV per atom
# DOS(E_F) = 6.9 states/eV/cell
# energy relative to the elements, uncorrected = -0.45 eV per atom
# total magnetic moment = 5.67 μB/cell

---

Record 6
# Mg3Sc SCAN PBEsol geometry
data_Mg3Sc
_space_group_name_H-M_alt 'P -6 m 2'
_space_group_IT_number 187
_space_group_name_Hall 'P -6 2'
_cell_length_a 3.1848
_cell_length_b 3.1848
_cell_length_c 10.4516
_cell_angle_alpha 90.00
_cell_angle_beta 90.00
_cell_angle_gamma 120.00
loop_
_atom_site_label
_atom_site_type_symbol
_atom_site_fract_x
_atom_site_fract_y
_atom_site_fract_z
_atom_site_occupancy
Mg1 Mg 0.0000 0.0000 0.0000 1
Mg2 Mg 0.6667 0.3333 0.2497 1
Sc1 Sc 0.0000 0.0000 0.5000 1
# formation energy from the elements = 0.01 eV/atom
# total DFT energy (no corrections) = -7.2828 eV per atom
# DOS(E_F) = 3.3 states/eV/cell
# total magnetic moment = 1.08 μB/cell